Record 1
# Nd3YHo4 (PBE, relaxed)
# Space group = No. 31
# Density = 7.40 g cm⁻³
# ΔE_f = 0.02 eV per atom
data_Nd3YHo4
_symmetry_space_group_name_H-M 'P 1'
_symmetry_Int_Tables_number 1
_cell_length_a 11.471
_cell_length_b 7.329
_cell_length_c 6.309
_cell_angle_alpha 90.00
_cell_angle_beta 90.00
_cell_angle_gamma 90.00
loop_
_symmetry_equiv_pos_as_xyz
'x,y,z'
loop_
_atom_site_label
_atom_site_type_symbol
_atom_site_fract_x
_atom_site_fract_y
_atom_site_fract_z
Nd1 Nd 0.000 0.128 0.000
Nd2 Nd 0.250 0.127 0.336
Nd3 Nd 0.250 0.873 0.836
Nd4 Nd 0.500 0.872 0.500
Nd5 Nd 0.750 0.127 0.336
Nd6 Nd 0.750 0.873 0.836
Y1 Y 0.000 0.870 0.499
Y2 Y 0.500 0.130 0.999
Ho1 Ho 0.000 0.378 0.500
Ho2 Ho 0.000 0.621 0.001
Ho3 Ho 0.249 0.621 0.333
Ho4 Ho 0.251 0.379 0.833
Ho5 Ho 0.500 0.379 0.501
Ho6 Ho 0.500 0.622 0.000
Ho7 Ho 0.749 0.379 0.833
Ho8 Ho 0.751 0.621 0.333



Record 2
# Cs2NaGaCl6 (PBE, relaxed)
# Total DFT energy (no corrections) = -33.5 eV/f.u.
# Space group = No. 164
# Density = 2.93 g cm⁻³
data_Cs2NaGaCl6
_symmetry_space_group_name_H-M 'P 1'
_symmetry_Int_Tables_number 1
_cell_length_a 7.446
_cell_length_b 7.446
_cell_length_c 6.735
_cell_angle_alpha 90.00
_cell_angle_beta 90.00
_cell_angle_gamma 120.00
loop_
_symmetry_equiv_pos_as_xyz
'x,y,z'
loop_
_atom_site_label
_atom_site_type_symbol
_atom_site_fract_x
_atom_site_fract_y
_atom_site_fract_z
Cs1 Cs 0.333 0.667 0.204
Cs2 Cs 0.667 0.333 0.796
Na1 Na 0.000 0.000 0.500
Ga1 Ga 0.000 0.000 0.000
Cl1 Cl 0.153 0.305 0.791
Cl2 Cl 0.153 0.847 0.791
Cl3 Cl 0.305 0.153 0.209
Cl4 Cl 0.695 0.847 0.791
Cl5 Cl 0.847 0.153 0.209
Cl6 Cl 0.847 0.695 0.209



Record 3
# Pr2Sm7Dy3 (PBE, relaxed)
# Space group = No. 10
# Density = 7.46 g cm⁻³
# ΔE_f = 0.07 eV per atom
data_Pr2Sm7Dy3
_symmetry_space_group_name_H-M 'P 1'
_symmetry_Int_Tables_number 1
_cell_length_a 6.444
_cell_length_b 3.570
_cell_length_c 17.716
_cell_angle_alpha 90.00
_cell_angle_beta 96.06
_cell_angle_gamma 90.00
loop_
_symmetry_equiv_pos_as_xyz
'x,y,z'
loop_
_atom_site_label
_atom_site_type_symbol
_atom_site_fract_x
_atom_site_fract_y
_atom_site_fract_z
Pr1 Pr 0.058 0.000 0.171
Pr2 Pr 0.942 0.000 0.829
Sm1 Sm 0.000 0.500 0.500
Sm2 Sm 0.229 0.000 0.668
Sm3 Sm 0.258 0.000 0.998
Sm4 Sm 0.276 0.500 0.336
Sm5 Sm 0.724 0.500 0.664
Sm6 Sm 0.742 0.000 0.002
Sm7 Sm 0.771 0.000 0.332
Dy1 Dy 0.453 0.500 0.841
Dy2 Dy 0.500 0.000 0.500
Dy3 Dy 0.547 0.500 0.159



Record 4
# Er5Bi4As (PBE, relaxed)
# Space group = No. 139
# Density = 9.77 g cm⁻³
# ΔE_f = -0.92 eV per atom
data_Er5Bi4As
_symmetry_space_group_name_H-M 'P 1'
_symmetry_Int_Tables_number 1
_cell_length_a 15.769
_cell_length_b 15.769
_cell_length_c 15.769
_cell_angle_alpha 164.02
_cell_angle_beta 164.02
_cell_angle_gamma 22.67
loop_
_symmetry_equiv_pos_as_xyz
'x,y,z'
loop_
_atom_site_label
_atom_site_type_symbol
_atom_site_fract_x
_atom_site_fract_y
_atom_site_fract_z
Er1 Er 0.000 0.000 0.000
Er2 Er 0.201 0.201 0.000
Er3 Er 0.408 0.408 0.000
Er4 Er 0.592 0.592 0.000
Er5 Er 0.799 0.799 0.000
Bi1 Bi 0.100 0.100 0.000
Bi2 Bi 0.303 0.303 0.000
Bi3 Bi 0.697 0.697 0.000
Bi4 Bi 0.900 0.900 0.000
As1 As 0.500 0.500 0.000



Record 5
# PtRh2 (PBE, relaxed)
# Space group = No. 191
# Density = 14.78 g cm⁻³
# ΔE_f = 0.18 eV per atom
data_PtRh2
_symmetry_space_group_name_H-M 'P 1'
_symmetry_Int_Tables_number 1
_cell_length_a 4.384
_cell_length_b 4.384
_cell_length_c 2.707
_cell_angle_alpha 90.00
_cell_angle_beta 90.00
_cell_angle_gamma 120.00
loop_
_symmetry_equiv_pos_as_xyz
'x,y,z'
loop_
_atom_site_label
_atom_site_type_symbol
_atom_site_fract_x
_atom_site_fract_y
_atom_site_fract_z
Pt1 Pt 0.000 0.000 0.000
Rh1 Rh 0.333 0.667 0.500
Rh2 Rh 0.667 0.333 0.500



Record 6
# LaSc2In3 (PBE, relaxed)
# Space group = No. 123
# Density = 6.31 g cm⁻³
# ΔE_f = -0.45 eV per atom
data_LaSc2In3
_symmetry_space_group_name_H-M 'P 1'
_symmetry_Int_Tables_number 1
_cell_length_a 3.644
_cell_length_b 3.644
_cell_length_c 11.368
_cell_angle_alpha 90.00
_cell_angle_beta 90.00
_cell_angle_gamma 90.00
loop_
_symmetry_equiv_pos_as_xyz
'x,y,z'
loop_
_atom_site_label
_atom_site_type_symbol
_atom_site_fract_x
_atom_site_fract_y
_atom_site_fract_z
La1 La 0.000 0.000 0.000
Sc1 Sc 0.000 0.000 0.348
Sc2 Sc 0.000 0.000 0.652
In1 In 0.500 0.500 0.197
In2 In 0.500 0.500 0.500
In3 In 0.500 0.500 0.803



Record 7
# RuSBr3 (PBE, relaxed)
# Total DFT energy (no corrections) = -13.4 eV/f.u.
# Space group = No. 221
# Density = 4.50 g cm⁻³
data_RuSBr3
_symmetry_space_group_name_H-M 'P 1'
_symmetry_Int_Tables_number 1
_cell_length_a 5.162
_cell_length_b 5.162
_cell_length_c 5.162
_cell_angle_alpha 90.00
_cell_angle_beta 90.00
_cell_angle_gamma 90.00
loop_
_symmetry_equiv_pos_as_xyz
'x,y,z'
loop_
_atom_site_label
_atom_site_type_symbol
_atom_site_fract_x
_atom_site_fract_y
_atom_site_fract_z
Ru1 Ru 0.000 0.000 0.000
S1 S 0.500 0.500 0.500
Br1 Br 0.000 0.500 0.500
Br2 Br 0.500 0.000 0.500
Br3 Br 0.500 0.500 0.000



Record 8
# TaRe2Hg (PBE, relaxed)
# Space group = No. 123
# Density = 18.08 g cm⁻³
# ΔE_f = 0.41 eV per atom
data_TaRe2Hg
_symmetry_space_group_name_H-M 'P 1'
_symmetry_Int_Tables_number 1
_cell_length_a 3.354
_cell_length_b 3.354
_cell_length_c 6.154
_cell_angle_alpha 90.00
_cell_angle_beta 90.00
_cell_angle_gamma 90.00
loop_
_symmetry_equiv_pos_as_xyz
'x,y,z'
loop_
_atom_site_label
_atom_site_type_symbol
_atom_site_fract_x
_atom_site_fract_y
_atom_site_fract_z
Ta1 Ta 0.000 0.000 0.000
Re1 Re 0.500 0.500 0.219
Re2 Re 0.500 0.500 0.781
Hg1 Hg 0.000 0.000 0.500



Record 9
# NbCdH (PBE, relaxed)
# Total DFT energy (no corrections) = -14.3 eV/f.u.
# Space group = No. 4
# Density = 8.05 g cm⁻³
data_NbCdH
_symmetry_space_group_name_H-M 'P 1'
_symmetry_Int_Tables_number 1
_cell_length_a 2.984
_cell_length_b 5.025
_cell_length_c 5.733
_cell_angle_alpha 90.00
_cell_angle_beta 98.21
_cell_angle_gamma 90.00
loop_
_symmetry_equiv_pos_as_xyz
'x,y,z'
loop_
_atom_site_label
_atom_site_type_symbol
_atom_site_fract_x
_atom_site_fract_y
_atom_site_fract_z
Nb1 Nb 0.110 0.000 0.379
Nb2 Nb 0.890 0.500 0.621
Cd1 Cd 0.495 0.448 0.113
Cd2 Cd 0.505 0.948 0.887
H1 H 0.370 0.258 0.599
H2 H 0.630 0.758 0.401



Record 10
# Tb5Tm2Tl4 (PBE, relaxed)
# Space group = No. 71
# Density = 7.54 g cm⁻³
# ΔE_f = 0.34 eV per atom
data_Tb5Tm2Tl4
_symmetry_space_group_name_H-M 'P 1'
_symmetry_Int_Tables_number 1
_cell_length_a 15.051
_cell_length_b 15.051
_cell_length_c 15.051
_cell_angle_alpha 166.79
_cell_angle_beta 146.50
_cell_angle_gamma 36.16
loop_
_symmetry_equiv_pos_as_xyz
'x,y,z'
loop_
_atom_site_label
_atom_site_type_symbol
_atom_site_fract_x
_atom_site_fract_y
_atom_site_fract_z
Tb1 Tb 0.000 0.000 0.000
Tb2 Tb 0.003 0.701 0.302
Tb3 Tb 0.399 0.701 0.698
Tb4 Tb 0.601 0.299 0.302
Tb5 Tb 0.997 0.299 0.698
Tm1 Tm 0.097 0.597 0.500
Tm2 Tm 0.903 0.403 0.500
Tl1 Tl 0.303 0.803 0.500
Tl2 Tl 0.320 0.500 0.820
Tl3 Tl 0.680 0.500 0.180
Tl4 Tl 0.697 0.197 0.500



Record 11
# Tb3Pm3Nd (PBE, relaxed)
# Space group = No. 160
# Density = 7.33 g cm⁻³
# ΔE_f = 0.22 eV per atom
data_Tb3Pm3Nd
_symmetry_space_group_name_H-M 'P 1'
_symmetry_Int_Tables_number 1
_cell_length_a 6.411
_cell_length_b 6.411
_cell_length_c 6.411
_cell_angle_alpha 103.05
_cell_angle_beta 103.05
_cell_angle_gamma 103.05
loop_
_symmetry_equiv_pos_as_xyz
'x,y,z'
loop_
_atom_site_label
_atom_site_type_symbol
_atom_site_fract_x
_atom_site_fract_y
_atom_site_fract_z
Tb1 Tb 0.065 0.467 0.467
Tb2 Tb 0.467 0.065 0.467
Tb3 Tb 0.467 0.467 0.065
Pm1 Pm 0.024 0.024 0.662
Pm2 Pm 0.024 0.662 0.024
Pm3 Pm 0.662 0.024 0.024
Nd1 Nd 0.611 0.611 0.611



Record 12
# Sr2HgBr (PBE, relaxed)
# Total DFT energy (no corrections) = -6.7 eV/f.u.
# Space group = No. 216
# Density = 5.00 g cm⁻³
data_Sr2HgBr
_symmetry_space_group_name_H-M 'P 1'
_symmetry_Int_Tables_number 1
_cell_length_a 8.461
_cell_length_b 8.461
_cell_length_c 8.461
_cell_angle_alpha 90.00
_cell_angle_beta 90.00
_cell_angle_gamma 90.00
loop_
_symmetry_equiv_pos_as_xyz
'x,y,z'
loop_
_atom_site_label
_atom_site_type_symbol
_atom_site_fract_x
_atom_site_fract_y
_atom_site_fract_z
Sr1 Sr 0.000 0.000 0.000
Sr2 Sr 0.000 0.500 0.500
Sr3 Sr 0.250 0.250 0.250
Sr4 Sr 0.250 0.750 0.750
Sr5 Sr 0.500 0.000 0.500
Sr6 Sr 0.500 0.500 0.000
Sr7 Sr 0.750 0.250 0.750
Sr8 Sr 0.750 0.750 0.250
Hg1 Hg 0.000 0.000 0.500
Hg2 Hg 0.000 0.500 0.000
Hg3 Hg 0.500 0.000 0.000
Hg4 Hg 0.500 0.500 0.500
Br1 Br 0.250 0.250 0.750
Br2 Br 0.250 0.750 0.250
Br3 Br 0.750 0.250 0.250
Br4 Br 0.750 0.750 0.750



Record 13
# InCu3Sb (PBE, relaxed)
# Total DFT energy (no corrections) = -16.6 eV/f.u.
# Space group = No. 221
# Density = 6.03 g cm⁻³
data_InCu3Sb
_symmetry_space_group_name_H-M 'P 1'
_symmetry_Int_Tables_number 1
_cell_length_a 4.901
_cell_length_b 4.901
_cell_length_c 4.901
_cell_angle_alpha 90.00
_cell_angle_beta 90.00
_cell_angle_gamma 90.00
loop_
_symmetry_equiv_pos_as_xyz
'x,y,z'
loop_
_atom_site_label
_atom_site_type_symbol
_atom_site_fract_x
_atom_site_fract_y
_atom_site_fract_z
In1 In 0.000 0.000 0.000
Cu1 Cu 0.000 0.500 0.500
Cu2 Cu 0.500 0.000 0.500
Cu3 Cu 0.500 0.500 0.000
Sb1 Sb 0.500 0.500 0.500



Record 14
# ScAg3Rh (PBE, relaxed)
# Space group = No. 221
# Density = 6.67 g cm⁻³
# ΔE_f = 1.33 eV per atom
data_ScAg3Rh
_symmetry_space_group_name_H-M 'P 1'
_symmetry_Int_Tables_number 1
_cell_length_a 4.895
_cell_length_b 4.895
_cell_length_c 4.895
_cell_angle_alpha 90.00
_cell_angle_beta 90.00
_cell_angle_gamma 90.00
loop_
_symmetry_equiv_pos_as_xyz
'x,y,z'
loop_
_atom_site_label
_atom_site_type_symbol
_atom_site_fract_x
_atom_site_fract_y
_atom_site_fract_z
Sc1 Sc 0.000 0.000 0.000
Ag1 Ag 0.000 0.000 0.500
Ag2 Ag 0.000 0.500 0.000
Ag3 Ag 0.500 0.000 0.000
Rh1 Rh 0.500 0.500 0.500



Record 15
# Zr4InN (PBE, relaxed)
# Total DFT energy (no corrections) = -49.3 eV/f.u.
# Space group = No. 10
# Density = 6.90 g cm⁻³
data_Zr4InN
_symmetry_space_group_name_H-M 'P 1'
_symmetry_Int_Tables_number 1
_cell_length_a 5.501
_cell_length_b 3.287
_cell_length_c 13.273
_cell_angle_alpha 90.00
_cell_angle_beta 98.38
_cell_angle_gamma 90.00
loop_
_symmetry_equiv_pos_as_xyz
'x,y,z'
loop_
_atom_site_label
_atom_site_type_symbol
_atom_site_fract_x
_atom_site_fract_y
_atom_site_fract_z
Zr1 Zr 0.000 0.000 0.000
Zr2 Zr 0.056 0.500 0.787
Zr3 Zr 0.359 0.500 0.599
Zr4 Zr 0.427 0.000 0.195
Zr5 Zr 0.500 0.500 0.000
Zr6 Zr 0.573 0.000 0.805
Zr7 Zr 0.641 0.500 0.401
Zr8 Zr 0.944 0.500 0.213
In1 In 0.152 0.000 0.400
In2 In 0.848 0.000 0.600
N1 N 0.209 0.500 0.102
N2 N 0.791 0.500 0.898



Record 16
# RuPt2Se (PBE, relaxed)
# Total DFT energy (no corrections) = -23.6 eV/f.u.
# Space group = No. 47
# Density = 14.91 g cm⁻³
data_RuPt2Se
_symmetry_space_group_name_H-M 'P 1'
_symmetry_Int_Tables_number 1
_cell_length_a 2.858
_cell_length_b 4.636
_cell_length_c 4.791
_cell_angle_alpha 90.00
_cell_angle_beta 90.00
_cell_angle_gamma 90.00
loop_
_symmetry_equiv_pos_as_xyz
'x,y,z'
loop_
_atom_site_label
_atom_site_type_symbol
_atom_site_fract_x
_atom_site_fract_y
_atom_site_fract_z
Ru1 Ru 0.000 0.000 0.000
Pt1 Pt 0.000 0.500 0.500
Pt2 Pt 0.500 0.000 0.500
Se1 Se 0.500 0.500 0.000



Record 17
# SbMoAs (PBE, relaxed)
# Total DFT energy (no corrections) = -19.6 eV/f.u.
# Space group = No. 156
# Density = 8.04 g cm⁻³
data_SbMoAs
_symmetry_space_group_name_H-M 'P 1'
_symmetry_Int_Tables_number 1
_cell_length_a 3.368
_cell_length_b 3.368
_cell_length_c 6.152
_cell_angle_alpha 90.00
_cell_angle_beta 90.00
_cell_angle_gamma 120.00
loop_
_symmetry_equiv_pos_as_xyz
'x,y,z'
loop_
_atom_site_label
_atom_site_type_symbol
_atom_site_fract_x
_atom_site_fract_y
_atom_site_fract_z
Sb1 Sb 0.000 0.000 0.000
Mo1 Mo 0.333 0.667 0.676
As1 As 0.667 0.333 0.409



Record 18
# TbLuInRh (PBE, relaxed)
# Space group = No. 216
# Density = 10.02 g cm⁻³
# ΔE_f = -0.58 eV per atom
data_TbLuInRh
_symmetry_space_group_name_H-M 'P 1'
_symmetry_Int_Tables_number 1
_cell_length_a 7.150
_cell_length_b 7.150
_cell_length_c 7.150
_cell_angle_alpha 90.00
_cell_angle_beta 90.00
_cell_angle_gamma 90.00
loop_
_symmetry_equiv_pos_as_xyz
'x,y,z'
loop_
_atom_site_label
_atom_site_type_symbol
_atom_site_fract_x
_atom_site_fract_y
_atom_site_fract_z
Tb1 Tb 0.000 0.000 0.000
Tb2 Tb 0.000 0.500 0.500
Tb3 Tb 0.500 0.000 0.500
Tb4 Tb 0.500 0.500 0.000
Lu1 Lu 0.000 0.000 0.500
Lu2 Lu 0.000 0.500 0.000
Lu3 Lu 0.500 0.000 0.000
Lu4 Lu 0.500 0.500 0.500
In1 In 0.250 0.250 0.250
In2 In 0.250 0.750 0.750
In3 In 0.750 0.250 0.750
In4 In 0.750 0.750 0.250
Rh1 Rh 0.250 0.250 0.750
Rh2 Rh 0.250 0.750 0.250
Rh3 Rh 0.750 0.250 0.250
Rh4 Rh 0.750 0.750 0.750



Record 19
# BaNbCuO5 (PBE, relaxed)
# Total DFT energy (no corrections) = -56.4 eV/f.u.
# Space group = No. 15
# Density = 5.11 g cm⁻³
data_BaNbCuO5
_symmetry_space_group_name_H-M 'P 1'
_symmetry_Int_Tables_number 1
_cell_length_a 6.016
_cell_length_b 6.016
_cell_length_c 7.640
_cell_angle_alpha 102.89
_cell_angle_beta 102.89
_cell_angle_gamma 108.24
loop_
_symmetry_equiv_pos_as_xyz
'x,y,z'
loop_
_atom_site_label
_atom_site_type_symbol
_atom_site_fract_x
_atom_site_fract_y
_atom_site_fract_z
Ba1 Ba 0.170 0.830 0.750
Ba2 Ba 0.830 0.170 0.250
Nb1 Nb 0.500 0.500 0.000
Nb2 Nb 0.500 0.500 0.500
Cu1 Cu 0.184 0.816 0.250
Cu2 Cu 0.816 0.184 0.750
O1 O 0.144 0.262 0.911
O2 O 0.223 0.610 0.403
O3 O 0.262 0.144 0.411
O4 O 0.390 0.777 0.097
O5 O 0.443 0.557 0.750
O6 O 0.557 0.443 0.250
O7 O 0.610 0.223 0.903
O8 O 0.738 0.856 0.589
O9 O 0.777 0.390 0.597
O10 O 0.856 0.738 0.089



Record 20
# InGaPd3 (PBE, relaxed)
# Space group = No. 221
# Density = 6.86 g cm⁻³
# ΔE_f = 0.59 eV per atom
data_InGaPd3
_symmetry_space_group_name_H-M 'P 1'
_symmetry_Int_Tables_number 1
_cell_length_a 4.959
_cell_length_b 4.959
_cell_length_c 4.959
_cell_angle_alpha 90.00
_cell_angle_beta 90.00
_cell_angle_gamma 90.00
loop_
_symmetry_equiv_pos_as_xyz
'x,y,z'
loop_
_atom_site_label
_atom_site_type_symbol
_atom_site_fract_x
_atom_site_fract_y
_atom_site_fract_z
In1 In 0.000 0.000 0.000
Ga1 Ga 0.500 0.500 0.500
Pd1 Pd 0.000 0.000 0.500
Pd2 Pd 0.000 0.500 0.000
Pd3 Pd 0.500 0.000 0.000



Record 21
# AlCoTeN2 (PBE, relaxed)
# Total DFT energy (no corrections) = -25.5 eV/f.u.
# Space group = No. 123
# Density = 5.36 g cm⁻³
data_AlCoTeN2
_symmetry_space_group_name_H-M 'P 1'
_symmetry_Int_Tables_number 1
_cell_length_a 3.751
_cell_length_b 3.751
_cell_length_c 5.324
_cell_angle_alpha 90.00
_cell_angle_beta 90.00
_cell_angle_gamma 90.00
loop_
_symmetry_equiv_pos_as_xyz
'x,y,z'
loop_
_atom_site_label
_atom_site_type_symbol
_atom_site_fract_x
_atom_site_fract_y
_atom_site_fract_z
Al1 Al 0.000 0.000 0.000
Co1 Co 0.500 0.500 0.500
Te1 Te 0.500 0.500 0.000
N1 N 0.000 0.500 0.500
N2 N 0.500 0.000 0.500



Record 22
# Ga2SnAu6 (PBE, relaxed)
# Space group = No. 12
# Density = 13.44 g cm⁻³
# ΔE_f = -0.10 eV per atom
data_Ga2SnAu6
_symmetry_space_group_name_H-M 'P 1'
_symmetry_Int_Tables_number 1
_cell_length_a 4.831
_cell_length_b 4.831
_cell_length_c 9.202
_cell_angle_alpha 99.21
_cell_angle_beta 99.21
_cell_angle_gamma 57.41
loop_
_symmetry_equiv_pos_as_xyz
'x,y,z'
loop_
_atom_site_label
_atom_site_type_symbol
_atom_site_fract_x
_atom_site_fract_y
_atom_site_fract_z
Ga1 Ga 0.234 0.234 0.353
Ga2 Ga 0.766 0.766 0.647
Sn1 Sn 0.000 0.000 0.000
Au1 Au 0.106 0.106 0.711
Au2 Au 0.346 0.346 0.086
Au3 Au 0.413 0.413 0.624
Au4 Au 0.587 0.587 0.376
Au5 Au 0.654 0.654 0.914
Au6 Au 0.894 0.894 0.289